The following is a DFT calculation (GGA-PBEsol) of a relaxed Zr2ScP2 crystal.

Computed properties:
total magnetization = 0.00 Bohr magnetons per cell
D(E_F) = 0.751 states/eV per atom
energy of formation from the pure elements = -634 kJ/mol of formula units
electronic total energy = -0.6312 Ry/atom

```
data_Zr2ScP2
_space_group_name_H-M_alt 'P 4/m b m'
_space_group_IT_number 127
_space_group_name_Hall '-P 4 2ab'
_cell_length_a 6.997
_cell_length_b 6.997
_cell_length_c 3.519
_cell_angle_alpha 90.00
_cell_angle_beta 90.00
_cell_angle_gamma 90.00
loop_
_atom_site_label
_atom_site_fract_x
_atom_site_fract_y
_atom_site_fract_z
_atom_site_occupancy
Zr1 0.159 0.341 0.000 1
Sc1 0.000 0.000 0.500 1
P1 0.139 0.639 0.500 1
```